## Pr2IrPd (PBE-GGA)

Data for Pr2IrPd after structural relaxation.

Energy of formation: -0.115 eV per atom
Symmetry: R-3m, No. 166
Crystal system: trigonal
Energy: -24.1 eV/cell
E above lowest polymorph: 0.6037 eV per atom

Cell: 9.134 9.134 9.134 Å, 25.59 25.59 25.59°
Atoms (fractional coordinates):
Pr: 0.105 0.105 0.105
Pr: 0.895 0.895 0.895
Ir: 0.500 0.500 0.500
Pd: 0.000 0.000 0.000